1.
First-principles (PBE) data for an optimized crystal structure of Sm12Ho6Tm, as listed in the Alexandria database.

Values from the calculation:
* V: 34.27 A^3/atom
* total magnetic moment: 0.00 μB/f.u.
* ΔE to the lowest computed polymorph: 186.5 kJ/mol of formula units
* formation energy from the elements: 0.244 eV per atom

```
data_Sm12Ho6Tm
_cell_length_a 9.178
_cell_length_b 9.178
_cell_length_c 9.178
_cell_angle_alpha 106.59
_cell_angle_beta 106.59
_cell_angle_gamma 106.59
_symmetry_space_group_name_H-M 'P 1'
_symmetry_Int_Tables_number 1
loop_
_symmetry_equiv_pos_as_xyz
'x,y,z'
loop_
_atom_site_label
_atom_site_type_symbol
_atom_site_fract_x
_atom_site_fract_y
_atom_site_fract_z
_atom_site_occupancy
Sm1 Sm 0.278 0.133 0.826 1
Sm2 Sm 0.174 0.722 0.867 1
Sm3 Sm 0.809 0.417 0.515 1
Sm4 Sm 0.722 0.867 0.174 1
Sm5 Sm 0.191 0.583 0.485 1
Sm6 Sm 0.583 0.485 0.191 1
Sm7 Sm 0.485 0.191 0.583 1
Sm8 Sm 0.417 0.515 0.809 1
Sm9 Sm 0.515 0.809 0.417 1
Sm10 Sm 0.867 0.174 0.722 1
Sm11 Sm 0.826 0.278 0.133 1
Sm12 Sm 0.133 0.826 0.278 1
Ho1 Ho 0.078 0.190 0.453 1
Ho2 Ho 0.547 0.922 0.810 1
Ho3 Ho 0.190 0.453 0.078 1
Ho4 Ho 0.453 0.078 0.190 1
Ho5 Ho 0.810 0.547 0.922 1
Ho6 Ho 0.922 0.810 0.547 1
Tm1 Tm 0.000 0.000 0.000 1
```

2.
First-principles (PBE) data for an optimized crystal structure of SiPb, as listed in the Alexandria database.

Values from the calculation:
* V: 23.89 A^3/atom
* total magnetic moment: 0.00 μB/f.u.
* E_form (uncorrected): 54.7 kJ per mole of atoms

```
data_SiPb
_cell_length_a 3.451
_cell_length_b 3.451
_cell_length_c 4.013
_cell_angle_alpha 90.00
_cell_angle_beta 90.00
_cell_angle_gamma 90.00
_symmetry_space_group_name_H-M 'P 1'
_symmetry_Int_Tables_number 1
loop_
_symmetry_equiv_pos_as_xyz
'x,y,z'
loop_
_atom_site_label
_atom_site_type_symbol
_atom_site_fract_x
_atom_site_fract_y
_atom_site_fract_z
_atom_site_occupancy
Pb1 Pb 0.000 0.000 0.000 1
Si1 Si 0.500 0.500 0.500 1
```

3.
First-principles (PBE) data for an optimized crystal structure of KNiCl, as listed in the Alexandria database.

Values from the calculation:
* V: 27.00 A^3/atom
* total magnetic moment: 0.56 μB/f.u.
* ΔE to the lowest computed polymorph: 224.5 kJ/mol of formula units
* E_form (uncorrected): 15.4 kJ per mole of atoms

```
data_KNiCl
_cell_length_a 4.857
_cell_length_b 4.857
_cell_length_c 4.857
_cell_angle_alpha 60.00
_cell_angle_beta 60.00
_cell_angle_gamma 60.00
_symmetry_space_group_name_H-M 'P 1'
_symmetry_Int_Tables_number 1
loop_
_symmetry_equiv_pos_as_xyz
'x,y,z'
loop_
_atom_site_label
_atom_site_type_symbol
_atom_site_fract_x
_atom_site_fract_y
_atom_site_fract_z
_atom_site_occupancy
Ni1 Ni 0.750 0.750 0.750 1
Cl1 Cl 0.000 0.000 0.000 1
K1 K 0.250 0.250 0.250 1
```

4.
First-principles (PBE) data for an optimized crystal structure of SrCrIr, as listed in the Alexandria database.

Values from the calculation:
* V: 24.44 A^3/atom
* total magnetic moment: 3.85 μB/f.u.
* ΔE to the lowest computed polymorph: 132.5 kJ/mol of formula units
* formation energy from the elements: 0.617 eV per atom

```
data_SrCrIr
_cell_length_a 4.698
_cell_length_b 4.698
_cell_length_c 4.698
_cell_angle_alpha 60.00
_cell_angle_beta 60.00
_cell_angle_gamma 60.00
_symmetry_space_group_name_H-M 'P 1'
_symmetry_Int_Tables_number 1
loop_
_symmetry_equiv_pos_as_xyz
'x,y,z'
loop_
_atom_site_label
_atom_site_type_symbol
_atom_site_fract_x
_atom_site_fract_y
_atom_site_fract_z
_atom_site_occupancy
Ir1 Ir 0.750 0.750 0.750 1
Cr1 Cr 0.500 0.500 0.500 1
Sr1 Sr 0.000 0.000 0.000 1
```

5.
First-principles (PBE) data for an optimized crystal structure of CaZr2Tl, as listed in the Alexandria database.

Values from the calculation:
* V: 25.46 A^3/atom
* total magnetic moment: 2.77 μB/f.u.
* ΔE to the lowest computed polymorph: 95.5 kJ/mol of formula units
* formation energy from the elements: 0.211 eV per atom

```
data_CaZr2Tl
_cell_length_a 5.242
_cell_length_b 5.242
_cell_length_c 5.242
_cell_angle_alpha 60.00
_cell_angle_beta 60.00
_cell_angle_gamma 60.00
_symmetry_space_group_name_H-M 'P 1'
_symmetry_Int_Tables_number 1
loop_
_symmetry_equiv_pos_as_xyz
'x,y,z'
loop_
_atom_site_label
_atom_site_type_symbol
_atom_site_fract_x
_atom_site_fract_y
_atom_site_fract_z
_atom_site_occupancy
Zr1 Zr 0.000 0.000 0.000 1
Zr2 Zr 0.250 0.250 0.250 1
Tl1 Tl 0.750 0.750 0.750 1
Ca1 Ca 0.500 0.500 0.500 1
```

6.
First-principles (PBE) data for an optimized crystal structure of GdDyInRh, as listed in the Alexandria database.

Values from the calculation:
* V: 23.75 A^3/atom
* total magnetic moment: 7.07 μB/f.u.
* formation energy from the elements: -0.541 eV per atom

```
data_GdDyInRh
_cell_length_a 5.122
_cell_length_b 5.122
_cell_length_c 5.122
_cell_angle_alpha 60.00
_cell_angle_beta 60.00
_cell_angle_gamma 60.00
_symmetry_space_group_name_H-M 'P 1'
_symmetry_Int_Tables_number 1
loop_
_symmetry_equiv_pos_as_xyz
'x,y,z'
loop_
_atom_site_label
_atom_site_type_symbol
_atom_site_fract_x
_atom_site_fract_y
_atom_site_fract_z
_atom_site_occupancy
Dy1 Dy 0.250 0.250 0.250 1
In1 In 0.500 0.500 0.500 1
Rh1 Rh 0.000 0.000 0.000 1
Gd1 Gd 0.750 0.750 0.750 1
```

7.
First-principles (PBE) data for an optimized crystal structure of Ba4LiCu, as listed in the Alexandria database.

Values from the calculation:
* V: 50.50 A^3/atom
* total magnetic moment: 0.01 μB/f.u.
* ΔE to the lowest computed polymorph: 329.1 kJ/mol of formula units
* formation energy from the elements: 0.639 eV per atom

```
data_Ba4LiCu
_cell_length_a 7.539
_cell_length_b 7.539
_cell_length_c 7.539
_cell_angle_alpha 60.00
_cell_angle_beta 60.00
_cell_angle_gamma 60.00
_symmetry_space_group_name_H-M 'P 1'
_symmetry_Int_Tables_number 1
loop_
_symmetry_equiv_pos_as_xyz
'x,y,z'
loop_
_atom_site_label
_atom_site_type_symbol
_atom_site_fract_x
_atom_site_fract_y
_atom_site_fract_z
_atom_site_occupancy
Li1 Li 0.000 0.000 0.000 1
Ba1 Ba 0.873 0.376 0.376 1
Ba2 Ba 0.376 0.376 0.873 1
Ba3 Ba 0.376 0.376 0.376 1
Ba4 Ba 0.376 0.873 0.376 1
Cu1 Cu 0.750 0.750 0.750 1
```

8.
First-principles (PBE) data for an optimized crystal structure of P3AuCl, as listed in the Alexandria database.

Values from the calculation:
* V: 19.30 A^3/atom
* total magnetic moment: 0.00 μB/f.u.
* ΔE to the lowest computed polymorph: 134.6 kJ/mol of formula units
* E_form (uncorrected): 144.1 kJ per mole of atoms

```
data_P3AuCl
_cell_length_a 4.587
_cell_length_b 4.587
_cell_length_c 4.587
_cell_angle_alpha 90.00
_cell_angle_beta 90.00
_cell_angle_gamma 90.00
_symmetry_space_group_name_H-M 'P 1'
_symmetry_Int_Tables_number 1
loop_
_symmetry_equiv_pos_as_xyz
'x,y,z'
loop_
_atom_site_label
_atom_site_type_symbol
_atom_site_fract_x
_atom_site_fract_y
_atom_site_fract_z
_atom_site_occupancy
Au1 Au 0.500 0.500 0.500 1
Cl1 Cl 0.000 0.000 0.000 1
P1 P 0.000 0.500 0.000 1
P2 P 0.500 0.000 0.000 1
P3 P 0.000 0.000 0.500 1
```

What did the sixth record say?
First-principles (PBE) data for an optimized crystal structure of GdDyInRh, as listed in the Alexandria database.

Values from the calculation:
* V: 23.75 A^3/atom
* total magnetic moment: 7.07 μB/f.u.
* formation energy from the elements: -0.541 eV per atom

```
data_GdDyInRh
_cell_length_a 5.122
_cell_length_b 5.122
_cell_length_c 5.122
_cell_angle_alpha 60.00
_cell_angle_beta 60.00
_cell_angle_gamma 60.00
_symmetry_space_group_name_H-M 'P 1'
_symmetry_Int_Tables_number 1
loop_
_symmetry_equiv_pos_as_xyz
'x,y,z'
loop_
_atom_site_label
_atom_site_type_symbol
_atom_site_fract_x
_atom_site_fract_y
_atom_site_fract_z
_atom_site_occupancy
Dy1 Dy 0.250 0.250 0.250 1
In1 In 0.500 0.500 0.500 1
Rh1 Rh 0.000 0.000 0.000 1
Gd1 Gd 0.750 0.750 0.750 1
```

Q: Which formula does entry 4 have?
A: SrCrIr